(1)
VASP calculation (PBE) on an optimized crystal structure of LaGa3Os.

```
LaGa3Os
1.0
4.840 0.000 0.000
0.000 4.840 0.000
0.000 0.000 4.840
La Ga Os
1 3 1
Direct
0.000 0.000 0.000
0.000 0.500 0.500
0.500 0.000 0.500
0.500 0.500 0.000
0.500 0.500 0.500
```

- E: -5.404 eV/atom
- Energy of formation from the pure elements: -0.356 eV per atom
- Magnetization: 0.00 μB per formula unit
- Distance to the lowest polymorph of the same formula: 0 kJ/mol of formula units

(2)
VASP calculation (PBE) on an optimized crystal structure of LaGa2Os.

```
LaGa2Os
1.0
0.000 3.366 3.366
3.366 0.000 3.366
3.366 3.366 0.000
La Ga Os
1 2 1
Direct
0.000 0.000 0.000
0.250 0.250 0.250
0.750 0.750 0.750
0.500 0.500 0.500
```

- E: -5.690 eV/atom
- Energy of formation from the pure elements: -0.137 eV per atom
- Magnetization: 0.00 μB per formula unit

(3)
VASP calculation (PBE) on an optimized crystal structure of La5GaOs.

```
La5GaOs
1.0
5.070 -3.754 0.000
5.070 3.754 0.000
-3.394 0.000 11.419
La Ga Os
10 2 2
Direct
0.029 0.971 0.750
0.048 0.435 0.137
0.214 0.556 0.451
0.435 0.048 0.637
0.444 0.786 0.049
0.556 0.214 0.951
0.565 0.952 0.363
0.786 0.444 0.549
0.952 0.565 0.863
0.971 0.029 0.250
0.448 0.552 0.750
0.552 0.448 0.250
0.000 0.000 0.000
0.000 0.000 0.500
```

- E: -5.709 eV/atom
- Energy of formation from the pure elements: -0.153 eV per atom
- Magnetization: 0.00 μB per formula unit

(4)
VASP calculation (PBE) on an optimized crystal structure of La7Ga2Os2.

```
La7Ga2Os2
1.0
4.121 -5.738 0.000
4.121 5.738 0.000
0.000 0.000 7.141
La Ga Os
7 2 2
Direct
0.000 0.000 0.000
0.000 0.500 0.259
0.000 0.500 0.741
0.500 0.000 0.259
0.500 0.000 0.741
0.500 0.500 0.259
0.500 0.500 0.741
0.157 0.157 0.500
0.843 0.843 0.500
0.298 0.702 0.000
0.702 0.298 0.000
```

- E: -5.956 eV/atom
- Energy of formation from the pure elements: -0.229 eV per atom
- Magnetization: 0.00 μB per formula unit

(5)
VASP calculation (PBE) on an optimized crystal structure of La5GaOs2.

```
La5GaOs2
1.0
-4.006 4.006 7.018
4.006 -4.006 7.018
4.006 4.006 -7.018
La Ga Os
10 2 4
Direct
0.000 0.000 0.000
0.033 0.533 0.832
0.201 0.033 0.500
0.299 0.799 0.832
0.467 0.299 0.500
0.500 0.500 0.000
0.533 0.701 0.500
0.701 0.201 0.168
0.799 0.967 0.500
0.967 0.467 0.168
0.250 0.250 0.000
0.750 0.750 0.000
0.134 0.366 0.500
0.366 0.866 0.231
0.634 0.134 0.769
0.866 0.634 0.500
```

- E: -6.541 eV/atom
- Energy of formation from the pure elements: -0.276 eV per atom
- Magnetization: 0.00 μB per formula unit

(6)
VASP calculation (PBE) on an optimized crystal structure of LaGaOs3.

```
LaGaOs3
1.0
4.642 0.000 0.000
0.000 4.642 0.000
0.000 0.000 4.642
La Ga Os
1 1 3
Direct
0.000 0.000 0.000
0.500 0.500 0.500
0.000 0.500 0.500
0.500 0.000 0.500
0.500 0.500 0.000
```

- E: -7.331 eV/atom
- Energy of formation from the pure elements: 0.998 eV per atom
- Magnetization: 0.02 μB per formula unit
- Distance to the lowest polymorph of the same formula: 0 kJ/mol of formula units

(7)
VASP calculation (PBE) on an optimized crystal structure of LaGa4Os.

```
LaGa4Os
1.0
7.757 0.000 0.000
0.000 4.205 0.000
0.000 0.000 7.167
La Ga Os
2 8 2
Direct
0.250 0.000 0.131
0.750 0.000 0.869
0.000 0.000 0.500
0.068 0.500 0.816
0.250 0.500 0.460
0.432 0.500 0.816
0.500 0.000 0.500
0.568 0.500 0.184
0.750 0.500 0.540
0.932 0.500 0.184
0.250 0.000 0.700
0.750 0.000 0.300
```

- E: -5.164 eV/atom
- Energy of formation from the pure elements: -0.453 eV per atom
- Magnetization: 0.00 μB per formula unit

(8)
VASP calculation (PBE) on an optimized crystal structure of La3Ga3Os2.

```
La3Ga3Os2
1.0
2.150 -5.486 0.000
2.150 5.486 0.000
0.000 0.000 15.739
La Ga Os
6 6 4
Direct
0.068 0.932 0.605
0.068 0.932 0.895
0.349 0.651 0.750
0.651 0.349 0.250
0.932 0.068 0.105
0.932 0.068 0.395
0.346 0.654 0.536
0.346 0.654 0.964
0.351 0.649 0.250
0.649 0.351 0.750
0.654 0.346 0.036
0.654 0.346 0.464
0.221 0.779 0.111
0.221 0.779 0.389
0.779 0.221 0.611
0.779 0.221 0.889
```

- E: -6.182 eV/atom
- Energy of formation from the pure elements: -0.391 eV per atom
- Magnetization: 0.00 μB per formula unit